1.
Computed, not measured: a relaxed structure of Ba5Sr2H12 at the PBE level of DFT.

a b c (Å): 7.2492 7.9174 8.4348
angles (deg): 106.42 90.00 117.25
Each line ends with the local moment (μB).
Positions (direct):
Ba 0.3000 0.6000 0.6316  0.04
Ba 0.2875 0.5750 0.1449  0.04
Ba 0.0000 0.0000 0.5000  0.06
Ba 0.7125 0.4250 0.8551  0.04
Ba 0.7000 0.4000 0.3684  0.04
Sr 0.7618 0.0000 0.0000  0.04
Sr 0.2382 0.0000 0.0000  0.04
H 0.9257 0.8514 0.1383  0.00
H 0.1264 0.6474 0.9036  0.00
H 0.5210 0.6474 0.9036  0.00
H 0.1023 0.6949 0.4199  0.00
H 0.5927 0.6949 0.4199  0.00
H 0.5022 0.0044 0.8117  0.00
H 0.4978 0.9956 0.1883  0.00
H 0.8977 0.3051 0.5801  0.00
H 0.4073 0.3051 0.5801  0.00
H 0.8736 0.3526 0.0964  0.00
H 0.4790 0.3526 0.0964  0.00
H 0.0743 0.1486 0.8617  0.00

Values from the calculation:
As for the space-group type: C2/m, No. 12. The value obtained for the spin magnetization is 1.39 μB/cell. The value obtained for the theoretical density is 3.56 g/cm3. The total energy comes out at -3.2242 eV per atom.



2.
Computed, not measured: a relaxed structure of BaSr2H2 at the PBE level of DFT.

a b c (Å): 8.2312 8.2312 4.9815
angles (deg): 90.00 90.00 90.00
Positions (direct):
Sr 0.1760 0.6760 0.5000
Sr 0.6760 0.8240 0.5000
Sr 0.8240 0.3240 0.5000
Sr 0.3240 0.1760 0.5000
Ba 0.0000 0.0000 0.0000
Ba 0.5000 0.5000 0.0000
H 0.2288 0.7288 0.0000
H 0.7288 0.7712 0.0000
H 0.7712 0.2712 0.0000
H 0.2712 0.2288 0.0000

Values from the calculation:
As for the space-group type: P4/mbm, No. 127. The value obtained for the spin magnetization is 0.00 μB/cell. The value obtained for the theoretical density is 3.10 g/cm3. The total energy comes out at -2.4902 eV per atom.



3.
Computed, not measured: a relaxed structure of BaSr2H2 at the PBE level of DFT.

a b c (Å): 4.1401 4.1401 10.2410
angles (deg): 78.34 78.34 90.00
Positions (direct):
Sr 0.3195 0.3195 0.3611
Sr 0.6805 0.6805 0.6389
Ba 0.0000 0.0000 0.0000
H 0.7500 0.2500 0.5000
H 0.2500 0.7500 0.5000

Values from the calculation:
As for the space-group type: I4/mmm, No. 139. The value obtained for the spin magnetization is 0.00 μB/cell. The value obtained for the theoretical density is 3.11 g/cm3. The total energy comes out at -2.6970 eV per atom.



4.
Computed, not measured: a relaxed structure of Ba6SrH12 at the PBE level of DFT.

a b c (Å): 7.6160 7.6160 7.6160
angles (deg): 99.28 99.28 99.28
Positions (direct):
Ba 0.7077 0.8615 0.3996
Ba 0.6004 0.2923 0.1385
Ba 0.1385 0.6004 0.2923
Ba 0.2923 0.1385 0.6004
Ba 0.3996 0.7077 0.8615
Ba 0.8615 0.3996 0.7077
Sr 0.0000 0.0000 0.0000
H 0.8204 0.5498 0.4094
H 0.4094 0.8204 0.5498
H 0.5498 0.4094 0.8204
H 0.1796 0.4502 0.5906
H 0.5906 0.1796 0.4502
H 0.4502 0.5906 0.1796
H 0.0530 0.9305 0.3103
H 0.0695 0.6897 0.9470
H 0.6897 0.9470 0.0695
H 0.9470 0.0695 0.6897
H 0.9305 0.3103 0.0530
H 0.3103 0.0530 0.9305

Values from the calculation:
As for the space-group type: R-3, No. 148. The value obtained for the spin magnetization is 0.00 μB/cell. The value obtained for the theoretical density is 3.63 g/cm3. The total energy comes out at -3.2641 eV per atom.



5.
Computed, not measured: a relaxed structure of BaSrH4 at the PBE level of DFT.

a b c (Å): 4.2801 4.2803 6.1252
angles (deg): 89.99 89.99 90.00
Positions (direct):
Ba 0.5013 0.4973 0.9981
Sr 0.0013 0.9973 0.4981
H 0.5013 0.9971 0.2631
H 0.5013 0.9975 0.7331
H 0.0014 0.4974 0.7331
H 0.0012 0.4972 0.2632

Values from the calculation:
As for the space-group type: P4/mmm, No. 123. The value obtained for the spin magnetization is 0.00 μB/cell. The value obtained for the theoretical density is 3.39 g/cm3. The total energy comes out at -3.3340 eV per atom.



6.
Computed, not measured: a relaxed structure of BaSrH2 at the PBE level of DFT.

a b c (Å): 3.9538 3.9538 7.2531
angles (deg): 74.18 74.18 60.00
Each line ends with the local moment (μB).
Positions (direct):
Ba 0.4944 0.4944 0.5168  0.27
Sr 0.6683 0.6683 0.9951  0.08
H 0.0671 0.0671 0.7987  0.00
H 0.2702 0.2702 0.1893  0.00

Values from the calculation:
As for the space-group type: R3m, No. 160. The value obtained for the spin magnetization is 1.10 μB/cell. The value obtained for the theoretical density is 4.04 g/cm3. The total energy comes out at -2.7576 eV per atom.



7.
Computed, not measured: a relaxed structure of Ba2SrTcH6 at the PBE level of DFT.

a b c (Å): 6.4203 5.7942 5.7942
angles (deg): 120.00 90.00 90.00
Positions (direct):
Ba 0.1394 0.3333 0.6667
Ba 0.8606 0.6667 0.3333
Sr 0.5000 0.0000 0.0000
Tc 0.0000 0.0000 0.0000
H 0.8319 0.1456 0.2912
H 0.8319 0.1456 0.8544
H 0.8319 0.7088 0.8544
H 0.1681 0.8544 0.1456
H 0.1681 0.2912 0.1456
H 0.1681 0.8544 0.7088

Values from the calculation:
As for the space-group type: P-3m1, No. 164. The value obtained for the spin magnetization is 0.51 μB/cell. The value obtained for the theoretical density is 4.15 g/cm3. The total energy comes out at -3.9697 eV per atom.



8.
Computed, not measured: a relaxed structure of BaSrTe2H at the PBE level of DFT.

a b c (Å): 6.5192 7.1527 6.5192
angles (deg): 90.00 90.00 90.00
Each line ends with the local moment (μB).
Positions (direct):
Sr 0.0000 0.5000 0.0000  0.00
Te 0.0000 0.0000 0.5000  0.22
Te 0.5000 0.0000 0.0000  0.19
Ba 0.0000 0.0000 0.0000  0.01
H 0.5000 0.5000 0.5000  0.37

Values from the calculation:
As for the space-group type: P4/mmm, No. 123. The value obtained for the spin magnetization is 1.73 μB/cell. The value obtained for the theoretical density is 2.63 g/cm3. The total energy comes out at -2.2489 eV per atom.



Among the records above, which one has the highest spin magnetization? BaSrTe2H